No. 1
Here is a relaxed structure of Pm2Er5In from Alexandria via LeMat-Bulk. Energies are from GGA-PBE.

CIF file:
```
data_Pm2Er5In
_chemical_formula_sum 'Pm2 Er5 In1'
_space_group_name_H-M_alt 'P 1'
_space_group_IT_number 1
_space_group_name_Hall 'P 1'
_cell_length_a 7.0802
_cell_length_b 8.3195
_cell_length_c 7.0649
_cell_angle_alpha 129.78
_cell_angle_beta 120.08
_cell_angle_gamma 90.01
loop_
_atom_site_label
_atom_site_fract_x
_atom_site_fract_y
_atom_site_fract_z
Pm1 0.2486 0.6870 0.4967
Pm2 0.6732 0.2226 0.3469
Er1 0.6696 0.2244 0.8622
Er2 0.2625 0.7220 0.0237
Er3 0.1922 0.2243 0.8617
In1 0.1875 0.2191 0.3753
Er4 0.7824 0.7561 0.5645
Er5 0.7609 0.7217 0.0230
```

Output
formation energy: -0.1049 eV/atom
excess energy over the best structure of this formula in the dataset: 0.00 eV per formula unit

No. 2
Here is a relaxed structure of YTiB4 from Alexandria via LeMat-Bulk. Energies are from GGA-PBE.

CIF file:
```
data_YTiB4
_chemical_formula_sum 'Y4 Ti4 B16'
_space_group_name_H-M_alt 'P 1'
_space_group_IT_number 1
_space_group_name_Hall 'P 1'
_cell_length_a 3.5722
_cell_length_b 6.0710
_cell_length_c 11.7524
_cell_angle_alpha 90.00
_cell_angle_beta 90.00
_cell_angle_gamma 90.00
loop_
_atom_site_label
_atom_site_fract_x
_atom_site_fract_y
_atom_site_fract_z
B1 0.5000 0.7064 0.6862
B2 0.5000 0.6326 0.5324
Y1 0.0000 0.1259 0.1516
B3 0.5000 0.8674 0.0324
B4 0.5000 0.2936 0.3138
Ti1 0.0000 0.6314 0.0859
Y2 0.0000 0.8741 0.8484
B5 0.5000 0.6139 0.9530
Y3 0.0000 0.3741 0.6516
B6 0.5000 0.8861 0.4530
B7 0.5000 0.5206 0.8064
B8 0.5000 0.9794 0.3064
Ti2 0.0000 0.1314 0.4141
B9 0.5000 0.3674 0.4676
B10 0.5000 0.1139 0.5470
Ti3 0.0000 0.3686 0.9141
B11 0.5000 0.0206 0.6936
B12 0.5000 0.4794 0.1936
Ti4 0.0000 0.8686 0.5859
B13 0.5000 0.3861 0.0470
B14 0.5000 0.2064 0.8138
Y4 0.0000 0.6259 0.3484
B15 0.5000 0.1326 0.9676
B16 0.5000 0.7936 0.1862
```

Output
formation energy: -0.6935 eV/atom

No. 3
Here is a relaxed structure of Nd2MgAs4Pt3 from Alexandria via LeMat-Bulk. Energies are from GGA-PBE.

CIF file:
```
data_Nd2MgAs4Pt3
_chemical_formula_sum 'Nd2 Mg1 As4 Pt3'
_space_group_name_H-M_alt 'P 1'
_space_group_IT_number 1
_space_group_name_Hall 'P 1'
_cell_length_a 4.2643
_cell_length_b 4.2643
_cell_length_c 11.1287
_cell_angle_alpha 90.00
_cell_angle_beta 90.00
_cell_angle_gamma 90.00
loop_
_atom_site_label
_atom_site_fract_x
_atom_site_fract_y
_atom_site_fract_z
Nd1 0.0000 0.5000 0.7515
As1 0.0000 0.5000 0.3568
Nd2 0.5000 0.0000 0.2485
Pt1 0.5000 0.0000 0.8645
Mg1 0.5000 0.5000 0.5000
Pt2 0.0000 0.0000 0.5000
As2 0.5000 0.0000 0.6432
Pt3 0.0000 0.5000 0.1355
As3 0.5000 0.5000 0.0000
As4 0.0000 0.0000 0.0000
```

Output
formation energy: -0.8610 eV/atom

No. 4
Here is a relaxed structure of CoCu3Si from Alexandria via LeMat-Bulk. Energies are from GGA-PBE.

CIF file:
```
data_CoCu3Si
_chemical_formula_sum 'Co1 Cu3 Si1'
_space_group_name_H-M_alt 'P 1'
_space_group_IT_number 1
_space_group_name_Hall 'P 1'
_cell_length_a 4.3144
_cell_length_b 4.3144
_cell_length_c 4.3144
_cell_angle_alpha 90.00
_cell_angle_beta 90.00
_cell_angle_gamma 90.00
loop_
_atom_site_label
_atom_site_fract_x
_atom_site_fract_y
_atom_site_fract_z
Cu1 0.0000 0.5000 0.0000
Co1 0.5000 0.5000 0.5000
Cu2 0.5000 0.0000 0.0000
Si1 0.0000 0.0000 0.0000
Cu3 0.0000 0.0000 0.5000
```

Output
raw formation energy: 78.0 kJ/mol of atoms
excess energy over the best structure of this formula in the dataset: 0.00 eV per formula unit

No. 5
Here is a relaxed structure of MgGeRh2 from Alexandria via LeMat-Bulk. Energies are from GGA-PBE.

CIF file:
```
data_MgGeRh2
_chemical_formula_sum 'Mg1 Ge1 Rh2'
_space_group_name_H-M_alt 'P 1'
_space_group_IT_number 1
_space_group_name_Hall 'P 1'
_cell_length_a 4.3218
_cell_length_b 4.3218
_cell_length_c 4.3218
_cell_angle_alpha 60.00
_cell_angle_beta 60.00
_cell_angle_gamma 60.00
loop_
_atom_site_label
_atom_site_fract_x
_atom_site_fract_y
_atom_site_fract_z
Mg1 0.0000 0.0000 0.0000
Rh1 0.7500 0.7500 0.7500
Ge1 0.5000 0.5000 0.5000
Rh2 0.2500 0.2500 0.2500
```

Output
formation energy: -0.6286 eV/atom
excess energy over the best structure of this formula in the dataset: 0.00 eV per formula unit

No. 6
Here is a relaxed structure of LaGeF3 from Alexandria via LeMat-Bulk. Energies are from GGA-PBE.

CIF file:
```
data_LaGeF3
_chemical_formula_sum 'La1 Ge1 F3'
_space_group_name_H-M_alt 'P 1'
_space_group_IT_number 1
_space_group_name_Hall 'P 1'
_cell_length_a 4.4871
_cell_length_b 4.4871
_cell_length_c 4.4871
_cell_angle_alpha 90.00
_cell_angle_beta 90.00
_cell_angle_gamma 90.00
loop_
_atom_site_label
_atom_site_fract_x
_atom_site_fract_y
_atom_site_fract_z
F1 0.0000 0.5000 0.0000
La1 0.5000 0.5000 0.5000
F2 0.0000 0.0000 0.5000
F3 0.5000 0.0000 0.0000
Ge1 0.0000 0.0000 0.0000
```

Output
raw formation energy: -177.7 kJ/mol of atoms
excess energy over the best structure of this formula in the dataset: 3.58 eV per formula unit

No. 7
Here is a relaxed structure of Dy3Hg from Alexandria via LeMat-Bulk. Energies are from GGA-PBE.

CIF file:
```
data_Dy3Hg
_chemical_formula_sum 'Dy3 Hg1'
_space_group_name_H-M_alt 'P 1'
_space_group_IT_number 1
_space_group_name_Hall 'P 1'
_cell_length_a 5.3929
_cell_length_b 5.3929
_cell_length_c 5.3929
_cell_angle_alpha 60.00
_cell_angle_beta 60.00
_cell_angle_gamma 60.00
loop_
_atom_site_label
_atom_site_fract_x
_atom_site_fract_y
_atom_site_fract_z
Dy1 0.0000 0.0000 0.0000
Dy2 0.7500 0.7500 0.7500
Hg1 0.5000 0.5000 0.5000
Dy3 0.2500 0.2500 0.2500
```

Output
formation energy: -0.0455 eV/atom
excess energy over the best structure of this formula in the dataset: 0.75 eV per formula unit

No. 8
Here is a relaxed structure of Na2SF6 from Alexandria via LeMat-Bulk. Energies are from GGA-PBE.

CIF file:
```
data_Na2SF6
_chemical_formula_sum 'Na4 S2 F12'
_space_group_name_H-M_alt 'P 1'
_space_group_IT_number 1
_space_group_name_Hall 'P 1'
_cell_length_a 5.0436
_cell_length_b 5.0436
_cell_length_c 9.9725
_cell_angle_alpha 90.00
_cell_angle_beta 90.00
_cell_angle_gamma 90.00
loop_
_atom_site_label
_atom_site_fract_x
_atom_site_fract_y
_atom_site_fract_z
F1 0.7380 0.7380 0.0000
F2 0.7620 0.2380 0.5000
F3 0.8205 0.1795 0.1378
S1 0.5000 0.5000 0.5000
F4 0.3205 0.3205 0.3622
F5 0.6795 0.6795 0.6378
F6 0.1795 0.8205 0.1378
F7 0.2380 0.7620 0.5000
F8 0.1795 0.8205 0.8622
F9 0.3205 0.3205 0.6378
F10 0.6795 0.6795 0.3622
Na1 0.0000 0.0000 0.3358
F11 0.8205 0.1795 0.8622
Na2 0.0000 0.0000 0.6642
Na3 0.5000 0.5000 0.8358
S2 0.0000 0.0000 0.0000
F12 0.2620 0.2620 0.0000
Na4 0.5000 0.5000 0.1642
```

Output
raw formation energy: -197.7 kJ/mol of atoms

no.,density (g/cm³),E_tot (Ry/atom)
1,8.502,-0.32976
2,4.691,-0.55405
3,9.828,-0.41498
4,5.741,-0.30539
5,8.808,-0.43050
6,4.936,-0.35818
7,10.302,-0.26257
8,2.514,-0.29757